Material: Tb2YTe
Method: DFT, PBE
State: optimized geometry

For the density of states at the Fermi level, the calculation gives 17.8 states/eV/cell. The calculation puts the total magnetization at 0.000 μB per atom. As for the crystal system: orthorhombic. The raw formation energy is -2.68 eV/f.u. The distance to the lowest polymorph of the same formula comes out at 0 meV per atom.

It has space group Cmcm (No. 63), with a = 3.9747 Å, b = 12.1229 Å, c = 9.8816 Å, α = 90.00°, β = 90.00° and γ = 90.00°. The asymmetric unit holds Tb at (0.0000, 0.1351, 0.0383), Y at (0.0000, 0.4418, 0.2500) and Te at (0.0000, 0.2647, 0.7500).